Computed, not measured: a relaxed structure of CaSi2TcOs at the GGA-PBE level of DFT.

Computed properties:
**Theoretical density**: 7.4 g/cm3
**Formation energy from raw total energies**: -47.4 kJ/mol of atoms
**Density of states at the Fermi level**: 0.60 states/eV/atom
**Total energy**: -36.9 eV/cell
**Space-group type**: No. 119

extended XYZ file:
```
5
Lattice="4.1423 0.0000 0.0000 0.0000 4.1423 0.0000 -2.0712 -2.0712 5.0513" Properties=species:S:1:pos:R:3 pbc="T T T"
Os 0.0000 2.0712 2.5256
Tc 2.0712 0.0000 2.5256
Si 2.0712 2.0712 1.2689
Si 0.0000 0.0000 3.7824
Ca 0.0000 0.0000 0.0000
```